Entry 1:
Below is a relaxed YIn5Rh6 crystal, with properties calculated at the PBE-GGA level.

## Properties
Crystal system   monoclinic
Total magnetic moment   0.000 μB/atom
Energy relative to the elements   -541 meV per atom

Geometry as CIF:
```
data_YIn5Rh6
_space_group_name_H-M_alt 'P 1 2/m 1'
_space_group_IT_number 10
_cell_length_a 4.551
_cell_length_b 6.727
_cell_length_c 7.190
_cell_angle_alpha 90.00
_cell_angle_beta 108.37
_cell_angle_gamma 90.00
loop_
_space_group_symop_operation_xyz
'x,y,z'
'-x,-y,-z'
'-x,y,-z'
'x,-y,z'
loop_
_atom_site_label
_atom_site_fract_x
_atom_site_fract_y
_atom_site_fract_z
Y1 0.000 0.000 0.000
In1 0.000 0.500 0.000
In2 0.334 0.000 0.669
In3 0.334 0.500 0.668
Rh1 0.170 0.255 0.341
Rh2 0.500 0.262 0.000
```

Entry 2:
Below is a relaxed Y2InRh crystal, with properties calculated at the PBE-GGA level.

## Properties
Crystal system   trigonal
Total magnetic moment   0.000 μB/atom
Energy relative to the elements   -519 meV per atom

Geometry as CIF:
```
data_Y2InRh
_space_group_name_H-M_alt 'R -3 m'
_space_group_IT_number 166
_space_group_name_Hall '-R 3 2"'
_cell_length_a 3.7811
_cell_length_b 3.7811
_cell_length_c 25.6928
_cell_angle_alpha 90.00
_cell_angle_beta 90.00
_cell_angle_gamma 120.00
loop_
_atom_site_label
_atom_site_fract_x
_atom_site_fract_y
_atom_site_fract_z
Y1 0.0000 0.0000 0.2334
In1 0.0000 0.0000 0.0000
Rh1 0.0000 0.0000 0.5000
```

Entry 3:
Below is a relaxed Y2InRh crystal, with properties calculated at the PBE-GGA level.

## Properties
Crystal system   tetragonal
Total magnetic moment   0.000 μB/atom
Energy relative to the elements   -301 meV per atom

Geometry as CIF:
```
data_Y2InRh
_space_group_name_H-M_alt 'I -4 2 d'
_space_group_IT_number 122
_space_group_name_Hall 'I -4 2bw'
_cell_length_a 8.041
_cell_length_b 8.041
_cell_length_c 6.340
_cell_angle_alpha 90.00
_cell_angle_beta 90.00
_cell_angle_gamma 90.00
loop_
_atom_site_label
_atom_site_fract_x
_atom_site_fract_y
_atom_site_fract_z
Y1 0.197 0.250 0.125
In1 0.000 0.000 0.500
Rh1 0.000 0.000 0.000
```

Entry 4:
Below is a relaxed Y14In3Rh3 crystal, with properties calculated at the PBE-GGA level.

## Properties
Crystal system   tetragonal
Total magnetic moment   0.000 μB/atom
Energy relative to the elements   -510 meV per atom

Geometry as CIF:
```
data_Y14In3Rh3
_space_group_name_H-M_alt 'P 42/n m c'
_space_group_IT_number 137
_cell_length_a 9.691
_cell_length_b 9.691
_cell_length_c 23.610
_cell_angle_alpha 90.00
_cell_angle_beta 90.00
_cell_angle_gamma 90.00
loop_
_space_group_symop_operation_xyz
'x,y,z'
'-x,-y,-z'
'-y+1/2,x,z+1/2'
'y+1/2,-x,-z+1/2'
'-x+1/2,-y+1/2,z'
'x+1/2,y+1/2,-z'
'y,-x+1/2,z+1/2'
'-y,x+1/2,-z+1/2'
'x+1/2,-y,-z'
'-x+1/2,y,z'
'-y,-x,-z+1/2'
'y,x,z+1/2'
'-x,y+1/2,-z'
'x,-y+1/2,z'
'y+1/2,x+1/2,-z+1/2'
'-y+1/2,-x+1/2,z+1/2'
loop_
_atom_site_label
_atom_site_fract_x
_atom_site_fract_y
_atom_site_fract_z
Y1 0.047 0.750 0.194
Y2 0.058 0.250 0.967
Y3 0.060 0.750 0.517
Y4 0.061 0.561 0.750
Y5 0.062 0.064 0.104
Y6 0.250 0.250 0.215
Y7 0.250 0.750 0.646
In1 0.089 0.250 0.355
In2 0.250 0.750 0.091
Rh1 0.032 0.750 0.311
Rh2 0.250 0.250 0.051
```

Entry 5:
Below is a relaxed Y3InRh4 crystal, with properties calculated at the PBE-GGA level.

## Properties
Crystal system   tetragonal
Total magnetic moment   0.000 μB/atom
Energy relative to the elements   -769 meV per atom

Geometry as CIF:
```
data_Y3InRh4
_space_group_name_H-M_alt 'P 4/m m m'
_space_group_IT_number 123
_space_group_name_Hall '-P 4 2'
_cell_length_a 4.749
_cell_length_b 4.749
_cell_length_c 6.857
_cell_angle_alpha 90.00
_cell_angle_beta 90.00
_cell_angle_gamma 90.00
loop_
_atom_site_label
_atom_site_fract_x
_atom_site_fract_y
_atom_site_fract_z
Y1 0.000 0.000 0.000
Y2 0.000 0.000 0.500
Y3 0.500 0.500 0.000
In1 0.500 0.500 0.500
Rh1 0.000 0.500 0.252
```

Entry 6:
Below is a relaxed YIn3Rh crystal, with properties calculated at the PBE-GGA level.

## Properties
Crystal system   cubic
Total magnetic moment   0.000 μB/atom
Energy relative to the elements   -161 meV per atom

Geometry as CIF:
```
data_YIn3Rh
_space_group_name_H-M_alt 'P m -3 m'
_space_group_IT_number 221
_space_group_name_Hall '-P 4 2 3'
_cell_length_a 5.073
_cell_length_b 5.073
_cell_length_c 5.073
_cell_angle_alpha 90.00
_cell_angle_beta 90.00
_cell_angle_gamma 90.00
loop_
_atom_site_label
_atom_site_fract_x
_atom_site_fract_y
_atom_site_fract_z
Y1 0.000 0.000 0.000
In1 0.000 0.500 0.500
Rh1 0.500 0.500 0.500
```

Entry 7:
Below is a relaxed Y3InRh8 crystal, with properties calculated at the PBE-GGA level.

## Properties
Crystal system   trigonal
Total magnetic moment   0.000 μB/atom
Energy relative to the elements   -608 meV per atom

Geometry as CIF:
```
data_Y3InRh8
_space_group_name_H-M_alt 'R 3 m'
_space_group_IT_number 160
_space_group_name_Hall 'R 3 -2"'
_cell_length_a 5.3095
_cell_length_b 5.3095
_cell_length_c 26.1739
_cell_angle_alpha 90.00
_cell_angle_beta 90.00
_cell_angle_gamma 120.00
loop_
_atom_site_label
_atom_site_fract_x
_atom_site_fract_y
_atom_site_fract_z
Y1 0.0000 0.0000 0.0000
Y2 0.0000 0.0000 0.1279
Y3 0.0000 0.0000 0.5075
In1 0.0000 0.0000 0.6298
Rh1 0.0000 0.0000 0.3155
Rh2 0.0000 0.0000 0.8157
Rh3 0.9996 0.4998 0.5661
Rh4 0.1671 0.3342 0.3990
```

Entry 8:
Below is a relaxed YIn2Rh2 crystal, with properties calculated at the PBE-GGA level.

## Properties
Crystal system   tetragonal
Total magnetic moment   0.046 μB/atom
Energy relative to the elements   -461 meV per atom

Geometry as CIF:
```
data_YIn2Rh2
_space_group_name_H-M_alt 'P 4/m b m'
_space_group_IT_number 127
_space_group_name_Hall '-P 4 2ab'
_cell_length_a 7.949
_cell_length_b 7.949
_cell_length_c 3.089
_cell_angle_alpha 90.00
_cell_angle_beta 90.00
_cell_angle_gamma 90.00
loop_
_atom_site_label
_atom_site_fract_x
_atom_site_fract_y
_atom_site_fract_z
Y1 0.000 0.000 0.000
In1 0.127 0.373 0.000
Rh1 0.173 0.673 0.500
```

Entry 9:
Below is a relaxed YIn2Rh2 crystal, with properties calculated at the PBE-GGA level.

## Properties
Crystal system   monoclinic
Total magnetic moment   0.000 μB/atom
Energy relative to the elements   -547 meV per atom

Geometry as CIF:
```
data_YIn2Rh2
_space_group_name_H-M_alt 'P 1 21/m 1'
_space_group_IT_number 11
_cell_length_a 5.239
_cell_length_b 4.662
_cell_length_c 8.930
_cell_angle_alpha 90.00
_cell_angle_beta 105.80
_cell_angle_gamma 90.00
loop_
_space_group_symop_operation_xyz
'x,y,z'
'-x,-y,-z'
'-x,y+1/2,-z'
'x,-y+1/2,z'
loop_
_atom_site_label
_atom_site_fract_x
_atom_site_fract_y
_atom_site_fract_z
Y1 0.188 0.250 0.269
In1 0.248 0.250 0.636
In2 0.352 0.750 0.027
Rh1 0.110 0.250 0.909
Rh2 0.303 0.750 0.472
```

Entry 10:
Below is a relaxed Y2InRh2 crystal, with properties calculated at the PBE-GGA level.

## Properties
Crystal system   monoclinic
Total magnetic moment   0.000 μB/atom
Energy relative to the elements   -767 meV per atom

Geometry as CIF:
```
data_Y2InRh2
_space_group_name_H-M_alt 'C 1 2/c 1'
_space_group_IT_number 15
_cell_length_a 10.264
_cell_length_b 5.482
_cell_length_c 8.105
_cell_angle_alpha 90.00
_cell_angle_beta 107.39
_cell_angle_gamma 90.00
loop_
_space_group_symop_operation_xyz
'x,y,z'
'-x,-y,-z'
'-x,y,-z+1/2'
'x,-y,z+1/2'
'x+1/2,y+1/2,z'
'-x+1/2,-y+1/2,-z'
'-x+1/2,y+1/2,-z+1/2'
'x+1/2,-y+1/2,z+1/2'
loop_
_atom_site_label
_atom_site_fract_x
_atom_site_fract_y
_atom_site_fract_z
Y1 0.147 0.160 0.149
In1 0.000 0.336 0.750
Rh1 0.138 0.352 0.510
```

Entry 11:
Below is a relaxed Y2InRh crystal, with properties calculated at the PBE-GGA level.

## Properties
Crystal system   orthorhombic
Total magnetic moment   0.000 μB/atom
Energy relative to the elements   -560 meV per atom

Geometry as CIF:
```
data_Y2InRh
_space_group_name_H-M_alt 'I m m m'
_space_group_IT_number 71
_space_group_name_Hall '-I 2 2'
_cell_length_a 4.429
_cell_length_b 5.273
_cell_length_c 8.155
_cell_angle_alpha 90.00
_cell_angle_beta 90.00
_cell_angle_gamma 90.00
loop_
_atom_site_label
_atom_site_fract_x
_atom_site_fract_y
_atom_site_fract_z
Y1 0.000 0.000 0.221
In1 0.000 0.500 0.000
Rh1 0.000 0.500 0.500
```

Entry 12:
Below is a relaxed Y3In4Rh4 crystal, with properties calculated at the PBE-GGA level.

## Properties
Crystal system   orthorhombic
Total magnetic moment   0.000 μB/atom
Energy relative to the elements   -609 meV per atom

Geometry as CIF:
```
data_Y3In4Rh4
_space_group_name_H-M_alt 'I m m m'
_space_group_IT_number 71
_space_group_name_Hall '-I 2 2'
_cell_length_a 3.854
_cell_length_b 8.018
_cell_length_c 15.249
_cell_angle_alpha 90.00
_cell_angle_beta 90.00
_cell_angle_gamma 90.00
loop_
_atom_site_label
_atom_site_fract_x
_atom_site_fract_y
_atom_site_fract_z
Y1 0.000 0.000 0.000
Y2 0.000 0.500 0.112
In1 0.000 0.306 0.332
Rh1 0.000 0.000 0.240
Rh2 0.000 0.198 0.500
```

Entry 13:
Below is a relaxed Y4In5Rh2 crystal, with properties calculated at the PBE-GGA level.

## Properties
Crystal system   monoclinic
Total magnetic moment   0.000 μB/atom
Energy relative to the elements   -608 meV per atom

Geometry as CIF:
```
data_Y4In5Rh2
_space_group_name_H-M_alt 'P 1 2/m 1'
_space_group_IT_number 10
_cell_length_a 7.700
_cell_length_b 3.630
_cell_length_c 9.659
_cell_angle_alpha 90.00
_cell_angle_beta 94.37
_cell_angle_gamma 90.00
loop_
_space_group_symop_operation_xyz
'x,y,z'
'-x,-y,-z'
'-x,y,-z'
'x,-y,z'
loop_
_atom_site_label
_atom_site_fract_x
_atom_site_fract_y
_atom_site_fract_z
Y1 0.175 0.000 0.352
Y2 0.220 0.000 0.943
In1 0.176 0.500 0.651
In2 0.452 0.500 0.175
In3 0.500 0.500 0.500
Rh1 0.074 0.500 0.141
```

Entry 14:
Below is a relaxed YInRh crystal, with properties calculated at the PBE-GGA level.

## Properties
Crystal system   cubic
Total magnetic moment   0.000 μB/atom
Energy relative to the elements   101 meV per atom

Geometry as CIF:
```
data_YInRh
_space_group_name_H-M_alt 'F -4 3 m'
_space_group_IT_number 216
_space_group_name_Hall 'F -4 2 3'
_cell_length_a 6.767
_cell_length_b 6.767
_cell_length_c 6.767
_cell_angle_alpha 90.00
_cell_angle_beta 90.00
_cell_angle_gamma 90.00
loop_
_atom_site_label
_atom_site_fract_x
_atom_site_fract_y
_atom_site_fract_z
Y1 0.000 0.000 0.000
In1 0.250 0.250 0.750
Rh1 0.250 0.250 0.250
```

Entry 15:
Below is a relaxed YIn2Rh2 crystal, with properties calculated at the PBE-GGA level.

## Properties
Crystal system   tetragonal
Total magnetic moment   0.000 μB/atom
Energy relative to the elements   -454 meV per atom

Geometry as CIF:
```
data_YIn2Rh2
_space_group_name_H-M_alt 'I 4/m m m'
_space_group_IT_number 139
_space_group_name_Hall '-I 4 2'
_cell_length_a 4.199
_cell_length_b 4.199
_cell_length_c 12.025
_cell_angle_alpha 90.00
_cell_angle_beta 90.00
_cell_angle_gamma 90.00
loop_
_atom_site_label
_atom_site_fract_x
_atom_site_fract_y
_atom_site_fract_z
Y1 0.000 0.000 0.000
In1 0.000 0.500 0.250
Rh1 0.000 0.000 0.396
```

Entry 16:
Below is a relaxed Y4InRh5 crystal, with properties calculated at the PBE-GGA level.

## Properties
Crystal system   tetragonal
Total magnetic moment   0.000 μB/atom
Energy relative to the elements   -760 meV per atom

Geometry as CIF:
```
data_Y4InRh5
_space_group_name_H-M_alt 'P 4/m m m'
_space_group_IT_number 123
_space_group_name_Hall '-P 4 2'
_cell_length_a 3.438
_cell_length_b 3.438
_cell_length_c 16.594
_cell_angle_alpha 90.00
_cell_angle_beta 90.00
_cell_angle_gamma 90.00
loop_
_atom_site_label
_atom_site_fract_x
_atom_site_fract_y
_atom_site_fract_z
Y1 0.000 0.000 0.102
Y2 0.000 0.000 0.308
In1 0.000 0.000 0.500
Rh1 0.500 0.500 0.000
Rh2 0.500 0.500 0.205
Rh3 0.500 0.500 0.410
```

Entry 17:
Below is a relaxed YIn12Rh6 crystal, with properties calculated at the PBE-GGA level.

## Properties
Crystal system   trigonal
Total magnetic moment   0.000 μB/atom
Energy relative to the elements   -257 meV per atom

Geometry as CIF:
```
data_YIn12Rh6
_space_group_name_H-M_alt 'R -3 m'
_space_group_IT_number 166
_space_group_name_Hall '-R 3 2"'
_cell_length_a 12.4790
_cell_length_b 12.4790
_cell_length_c 9.0528
_cell_angle_alpha 90.00
_cell_angle_beta 90.00
_cell_angle_gamma 120.00
loop_
_atom_site_label
_atom_site_fract_x
_atom_site_fract_y
_atom_site_fract_z
Y1 0.0000 0.0000 0.0000
In1 0.0000 0.3813 0.5000
In2 0.0856 0.1712 0.3184
Rh1 0.0507 0.5253 0.2510
```

Entry 18:
Below is a relaxed Y5InRh crystal, with properties calculated at the PBE-GGA level.

## Properties
Crystal system   monoclinic
Total magnetic moment   0.000 μB/atom
Energy relative to the elements   -281 meV per atom

Geometry as CIF:
```
data_Y5InRh
_space_group_name_H-M_alt 'C 1 2/c 1'
_space_group_IT_number 15
_cell_length_a 9.136
_cell_length_b 7.546
_cell_length_c 11.930
_cell_angle_alpha 90.00
_cell_angle_beta 105.80
_cell_angle_gamma 90.00
loop_
_space_group_symop_operation_xyz
'x,y,z'
'-x,-y,-z'
'-x,y,-z+1/2'
'x,-y,z+1/2'
'x+1/2,y+1/2,z'
'-x+1/2,-y+1/2,-z'
'-x+1/2,y+1/2,-z+1/2'
'x+1/2,-y+1/2,z+1/2'
loop_
_atom_site_label
_atom_site_fract_x
_atom_site_fract_y
_atom_site_fract_z
Y1 0.000 0.005 0.250
Y2 0.126 0.336 0.067
Y3 0.249 0.170 0.623
In1 0.000 0.402 0.750
Rh1 0.000 0.000 0.000
```

Entry 19:
Below is a relaxed Y2InRh crystal, with properties calculated at the PBE-GGA level.

## Properties
Crystal system   tetragonal
Total magnetic moment   0.045 μB/atom
Energy relative to the elements   -414 meV per atom

Geometry as CIF:
```
data_Y2InRh
_space_group_name_H-M_alt 'P 4 m m'
_space_group_IT_number 99
_cell_length_a 3.422
_cell_length_b 3.422
_cell_length_c 8.319
_cell_angle_alpha 90.00
_cell_angle_beta 90.00
_cell_angle_gamma 90.00
loop_
_space_group_symop_operation_xyz
'x,y,z'
'-y,x,z'
'-x,-y,z'
'y,-x,z'
'-x,y,z'
'y,x,z'
'x,-y,z'
'-y,-x,z'
loop_
_atom_site_label
_atom_site_fract_x
_atom_site_fract_y
_atom_site_fract_z
Y1 0.000 0.000 0.000
Y2 0.500 0.500 0.354
In1 0.000 0.000 0.617
Rh1 0.500 0.500 0.801
```